1 | The following is a PBE+U calculation of a geometry-optimized Co2SeO structure, from OQMD via LeMat-Bulk.

Cell and atoms, written as POSCAR:
```
Co2SeO
1.0
5.772 0.000 0.000
0.000 3.428 0.000
0.000 0.000 12.298
Co O Se
8 4 4
direct
0.228 0.750 0.082
0.617 0.250 0.197
0.117 0.250 0.303
0.728 0.750 0.418
0.272 0.250 0.582
0.883 0.750 0.697
0.383 0.750 0.803
0.772 0.250 0.918
0.286 0.250 0.167
0.786 0.250 0.333
0.214 0.750 0.667
0.714 0.750 0.833
0.788 0.750 0.081
0.288 0.750 0.419
0.712 0.250 0.581
0.212 0.250 0.919
```

## Properties
Crystal system: orthorhombic



2 | The following is a PBE+U calculation of a geometry-optimized Co2SeO structure, from OQMD via LeMat-Bulk.

Cell and atoms, written as POSCAR:
```
Co2SeO
1.0
5.751 0.000 0.000
0.000 3.423 0.000
0.000 0.000 12.362
Co O Se
8 4 4
direct
0.228 0.750 0.084
0.619 0.250 0.195
0.119 0.250 0.305
0.728 0.750 0.416
0.272 0.250 0.584
0.881 0.750 0.695
0.381 0.750 0.805
0.772 0.250 0.916
0.285 0.250 0.170
0.785 0.250 0.330
0.215 0.750 0.670
0.715 0.750 0.830
0.785 0.750 0.078
0.285 0.750 0.422
0.715 0.250 0.578
0.215 0.250 0.922
```

## Properties
Crystal system: orthorhombic



Top of the stability list: 1, leading by 0.042 eV/atom.



1 | The following is a PBE+U calculation of a geometry-optimized Sr3Co2O5 structure, from OQMD via LeMat-Bulk.

Cell and atoms, written as POSCAR:
```
Sr3Co2O5
1.0
5.338 5.540 7.718
3.224 9.258 4.761
-6.291 -7.614 -4.605
Co O Sr
2 5 3
direct
0.403 0.403 0.000
0.597 0.597 0.000
0.307 0.307 0.000
0.500 0.500 0.000
0.693 0.693 0.000
0.904 0.404 0.500
0.096 0.596 0.500
0.000 0.000 0.000
0.189 0.189 0.000
0.811 0.811 0.000
```

## Properties
Crystal system: orthorhombic



2 | The following is a PBE+U calculation of a geometry-optimized Sr3Co2O5 structure, from OQMD via LeMat-Bulk.

Cell and atoms, written as POSCAR:
```
Sr3Co2O5
1.0
2.051 -10.126 0.000
2.051 10.126 0.000
0.000 0.000 3.349
Co O Sr
2 5 3
direct
0.597 0.403 0.000
0.403 0.597 0.000
0.904 0.096 0.000
0.692 0.308 0.000
0.500 0.500 0.000
0.308 0.692 0.000
0.096 0.904 0.000
0.000 0.000 0.500
0.814 0.186 0.500
0.186 0.814 0.500
```

## Properties
Crystal system: orthorhombic



Top of the stability list: 1, leading by 0.062 eV/atom.



1 | The following is a PBE+U calculation of a geometry-optimized Ta2Co2O5 structure, from OQMD via LeMat-Bulk.

Cell and atoms, written as POSCAR:
```
Ta2Co2O5
1.0
6.041 0.000 0.000
0.000 3.735 0.000
0.000 0.000 3.735
Co O Ta
2 5 2
direct
0.188 0.500 0.500
0.812 0.500 0.500
0.224 0.500 0.000
0.776 0.500 0.000
0.224 0.000 0.500
0.776 0.000 0.500
0.500 0.500 0.500
0.000 0.000 0.000
0.500 0.000 0.000
```

## Properties
Crystal system: tetragonal



2 | The following is a PBE+U calculation of a geometry-optimized Ta2Co2O5 structure, from OQMD via LeMat-Bulk.

Cell and atoms, written as POSCAR:
```
Ta2Co2O5
1.0
-6.663 1.757 2.013
-1.302 -3.496 -1.257
0.673 -1.532 3.564
Co O Ta
2 5 2
direct
0.000 0.000 0.000
0.500 0.000 0.000
0.209 0.500 0.000
0.791 0.500 0.000
0.209 0.000 0.500
0.791 0.000 0.500
0.500 0.500 0.500
0.218 0.500 0.500
0.782 0.500 0.500
```

## Properties
Crystal system: tetragonal



Top of the stability list: 2, leading by 0.695 eV/atom.



1 | The following is a PBE+U calculation of a geometry-optimized Tb2Co2O5 structure, from OQMD via LeMat-Bulk.

Cell and atoms, written as POSCAR:
```
Tb2Co2O5
1.0
-0.196 0.222 8.819
3.658 -1.126 0.110
1.128 3.658 -0.067
Co O Tb
2 5 2
direct
0.000 0.000 0.000
0.500 0.000 0.000
0.138 0.500 0.000
0.862 0.500 0.000
0.138 0.000 0.500
0.862 0.000 0.500
0.500 0.500 0.500
0.247 0.500 0.500
0.753 0.500 0.500
```

## Properties
Crystal system: tetragonal



2 | The following is a PBE+U calculation of a geometry-optimized Tb2Co2O5 structure, from OQMD via LeMat-Bulk.

Cell and atoms, written as POSCAR:
```
Tb2Co2O5
1.0
-1.215 1.425 6.650
0.264 -3.713 0.844
3.748 0.402 0.599
Co O Tb
2 5 2
direct
0.210 0.500 0.500
0.790 0.500 0.500
0.219 0.500 0.000
0.781 0.500 0.000
0.219 0.000 0.500
0.781 0.000 0.500
0.500 0.500 0.500
0.000 0.000 0.000
0.500 0.000 0.000
```

## Properties
Crystal system: tetragonal



Top of the stability list: 2, leading by 0.401 eV/atom.



1 | The following is a PBE+U calculation of a geometry-optimized Tm2Co2O5 structure, from OQMD via LeMat-Bulk.

Cell and atoms, written as POSCAR:
```
Tm2Co2O5
1.0
6.774 0.000 0.000
0.000 3.779 0.000
0.000 0.000 3.779
Co O Tm
2 5 2
direct
0.204 0.500 0.500
0.796 0.500 0.500
0.217 0.500 0.000
0.783 0.500 0.000
0.217 0.000 0.500
0.783 0.000 0.500
0.500 0.500 0.500
0.000 0.000 0.000
0.500 0.000 0.000
```

## Properties
Crystal system: tetragonal



2 | The following is a PBE+U calculation of a geometry-optimized Tm2Co2O5 structure, from OQMD via LeMat-Bulk.

Cell and atoms, written as POSCAR:
```
Tm2Co2O5
1.0
-5.606 -5.046 4.154
2.707 -2.610 0.483
0.976 1.621 3.285
Co O Tm
2 5 2
direct
0.000 0.000 0.000
0.500 0.000 0.000
0.143 0.500 0.000
0.857 0.500 0.000
0.143 0.000 0.500
0.857 0.000 0.500
0.500 0.500 0.500
0.248 0.500 0.500
0.752 0.500 0.500
```

## Properties
Crystal system: tetragonal



Top of the stability list: 1, leading by 0.347 eV/atom.